1.
An optimized crystal structure of AcLa5SmY2, computed with PBE.

Output
ΔE_f (meV per atom): 260
Spin magnetization (μB/atom): 0.000

abc: 9.496 9.496 14.872
angles: 90.00 90.00 90.00
Space group I4/mcm (No. 140)
Symmetry-distinct sites (fractional):
Ac: 0.000 0.000 0.250
La: 0.000 0.000 0.000
La: 0.198 0.302 0.132
Sm: 0.000 0.500 0.250
Y: 0.111 0.389 0.500

2.
An optimized crystal structure of KP2Se, computed with PBE.

Output
E_form (uncorrected) (eV per atom): -0.133
Spin magnetization (μB/atom): 0.000

abc: 10.120 3.405 6.204
angles: 90.00 115.29 90.00
Space group Cm (No. 8)
Symmetry-distinct sites (fractional):
K: 0.000 0.000 0.000
P: 0.057 0.500 0.573
P: 0.211 0.000 0.590
Se: 0.332 0.500 0.387

3.
An optimized crystal structure of K2Rb6Na, computed with PBE.

Output
ΔE_f (meV per atom): 103
Spin magnetization (μB/atom): 0.000
ΔE to the lowest computed polymorph (kcal/mol of atoms): 1.83

abc: 23.010 10.554 7.224
angles: 90.00 107.69 90.00
Space group C2/m (No. 12)
Symmetry-distinct sites (fractional):
K: 0.167 0.000 0.158
Rb: 0.000 0.272 0.000
Rb: 0.157 0.264 0.651
Na: 0.000 0.500 0.500

4.
An optimized crystal structure of YPd4Pt, computed with PBE.

Output
ΔE_f (meV per atom): -395
Spin magnetization (μB/atom): 0.000
ΔE to the lowest computed polymorph (kcal/mol of atoms): 4.27

abc: 4.726 20.309 4.707
angles: 90.00 90.00 90.00
Space group Cmc2_1 (No. 36)
Symmetry-distinct sites (fractional):
Y: 0.000 0.168 0.000
Pd: 0.000 0.094 0.495
Pd: 0.000 0.251 0.515
Pd: 0.000 0.330 0.024
Pd: 0.000 0.468 0.044
Pt: 0.000 0.402 0.538

5.
An optimized crystal structure of PmU2CrC4, computed with PBE.

Output
ΔE_f (meV per atom): -68
Spin magnetization (μB/atom): 0.115

abc: 3.586 11.305 11.683
angles: 90.00 90.00 90.00
Space group Cmcm (No. 63)
Symmetry-distinct sites (fractional):
Pm: 0.000 0.113 0.250
U: 0.000 0.371 0.048
Cr: 0.000 0.153 0.750
C: 0.000 0.000 0.000
C: 0.000 0.255 0.622
C: 0.000 0.419 0.250

6.
An optimized crystal structure of TePt, computed with PBE.

Output
E_form (uncorrected) (eV per atom): -0.076
Spin magnetization (μB/atom): 0.000

abc: 7.890 8.139 12.734
angles: 90.00 90.00 90.00
Space group Fddd (No. 70, origin choice 2)
Symmetry-distinct sites (fractional):
Te: 0.089 0.375 0.375
Pt: 0.125 0.125 0.512

7.
An optimized crystal structure of Ca4Pm3HoTe8, computed with PBE.

Output
E_form (uncorrected) (eV per atom): -1.490
Spin magnetization (μB/atom): 0.000

abc: 8.8551 8.8551 22.2412
angles: 90.00 90.00 120.00
Space group R-3m (No. 166, hexagonal axes)
Symmetry-distinct sites (fractional):
Ca: 0.0000 0.0000 0.0000
Ca: 0.0000 0.5000 0.0000
Pm: 0.0000 0.5000 0.5000
Ho: 0.0000 0.0000 0.5000
Te: 0.0000 0.0000 0.2512
Te: 0.0055 0.5028 0.2499

8.
An optimized crystal structure of Er4TlOs, computed with PBE.

Output
ΔE_f (meV per atom): -331
Spin magnetization (μB/atom): 0.000
ΔE to the lowest computed polymorph (kcal/mol of atoms): 0.00

abc: 8.693 12.989 6.117
angles: 90.00 107.25 90.00
Space group C2/c (No. 15)
Symmetry-distinct sites (fractional):
Er: 0.108 0.168 0.047
Er: 0.226 0.426 0.391
Tl: 0.000 0.374 0.750
Os: 0.000 0.000 0.250

9.
An optimized crystal structure of LiPuIn2, computed with PBE.

Output
ΔE_f (meV per atom): -81
Spin magnetization (μB/atom): 1.492

abc: 3.2805 3.2805 31.1052
angles: 90.00 90.00 120.00
Space group R-3m (No. 166, hexagonal axes)
Symmetry-distinct sites (fractional):
Li: 0.0000 0.0000 0.0000
Pu: 0.0000 0.0000 0.5000
In: 0.0000 0.0000 0.2569

10.
An optimized crystal structure of MgCrSN2, computed with PBE.

Output
E_form (uncorrected) (eV per atom): 1.178
Spin magnetization (μB/atom): 0.114
ΔE to the lowest computed polymorph (kcal/mol of atoms): 28.69

abc: 3.936 3.936 5.036
angles: 90.00 90.00 90.00
Space group P4/mmm (No. 123)
Symmetry-distinct sites (fractional):
Mg: 0.000 0.000 0.000
Cr: 0.500 0.500 0.500
S: 0.000 0.000 0.500
N: 0.000 0.500 0.000

11.
An optimized crystal structure of HgSbTe2, computed with PBE.

Output
E_form (uncorrected) (eV per atom): 0.268
Spin magnetization (μB/atom): 0.000
ΔE to the lowest computed polymorph (kcal/mol of atoms): 8.02

abc: 7.640 7.640 7.640
angles: 90.00 90.00 90.00
Space group F-43m (No. 216)
Symmetry-distinct sites (fractional):
Hg: 0.000 0.000 0.000
Sb: 0.250 0.250 0.750
Te: 0.000 0.000 0.500
Te: 0.250 0.250 0.250

12.
An optimized crystal structure of Sc2InPd, computed with PBE.

Output
ΔE_f (meV per atom): -614
Spin magnetization (μB/atom): 0.000

abc: 4.732 4.732 3.631
angles: 90.00 90.00 90.00
Space group P4/mmm (No. 123)
Symmetry-distinct sites (fractional):
Sc: 0.000 0.500 0.000
In: 0.000 0.000 0.500
Pd: 0.500 0.500 0.500